# 1
VASP calculation (meta-GGA SCAN) on a crystal of AlZn2Pt relaxed with PBEsol.

Calculated values
Density of states at the Fermi level ... 0.61 states/eV/f.u.
Crystal system ... tetragonal
Volume ... 13.9 Å³/atom
Calculated formation energy ... -595 meV/atom
SG ... I4/mmm (139)

Cell and atoms, written as POSCAR:
```
AlZn2Pt
1.0
-3.2011 0.3294 1.9759
1.3244 -2.4465 2.5535
2.4932 4.0150 -0.2386
Zn Al Pt
2 1 1
direct
0.7500 0.2500 0.5000 Zn
0.2500 0.7500 0.5000 Zn
0.5000 0.5000 0.0000 Al
0.0000 0.0000 0.0000 Pt
```

# 2
VASP calculation (meta-GGA SCAN) on a crystal of Al2ZnPt2 relaxed with PBEsol.

Calculated values
Density of states at the Fermi level ... 1.92 states/eV/f.u.
Crystal system ... tetragonal
Volume ... 16.2 Å³/atom
Calculated formation energy ... -754 meV/atom
SG ... I4/mmm (139)
ΔE to the lowest computed polymorph ... 0.984 eV per formula unit

Cell and atoms, written as POSCAR:
```
Al2ZnPt2
1.0
-3.1400 1.6217 -1.1267
-0.9014 -3.0602 -1.8925
-0.7683 -1.3893 6.2474
Zn Al Pt
1 2 2
direct
0.0000 0.0000 0.0000 Zn
0.2500 0.7500 0.5000 Al
0.7500 0.2500 0.5000 Al
0.3890 0.3890 0.7779 Pt
0.6110 0.6110 0.2221 Pt
```

# 3
VASP calculation (meta-GGA SCAN) on a crystal of Al2ZnPt2 relaxed with PBEsol.

Calculated values
Density of states at the Fermi level ... 1.20 states/eV/f.u.
Crystal system ... tetragonal
Volume ... 15.1 Å³/atom
Calculated formation energy ... -951 meV/atom
SG ... P4/mbm (127)
ΔE to the lowest computed polymorph ... 0.000 eV per formula unit

Cell and atoms, written as POSCAR:
```
Al2ZnPt2
1.0
2.9691 0.0000 0.0000
0.0000 7.1411 0.0000
0.0000 0.0000 7.1411
Zn Al Pt
2 4 4
direct
0.0000 0.0000 0.0000 Zn
0.0000 0.5000 0.5000 Zn
0.5000 0.1475 0.6475 Al
0.5000 0.6475 0.8525 Al
0.5000 0.8525 0.3525 Al
0.5000 0.3525 0.1475 Al
0.0000 0.3501 0.8501 Pt
0.0000 0.8501 0.6499 Pt
0.0000 0.6499 0.1499 Pt
0.0000 0.1499 0.3501 Pt
```

# 4
VASP calculation (meta-GGA SCAN) on a crystal of AlZn2Pt relaxed with PBEsol.

Calculated values
Density of states at the Fermi level ... 0.52 states/eV/f.u.
Crystal system ... tetragonal
Volume ... 14.0 Å³/atom
Calculated formation energy ... -595 meV/atom
SG ... I-4m2 (119)

Cell and atoms, written as POSCAR:
```
AlZn2Pt
1.0
3.8616 0.0000 0.0000
0.0000 3.8616 0.0000
-1.9308 -1.9308 3.7492
Zn Al Pt
2 1 1
direct
0.0000 0.0000 0.0000 Zn
0.2500 0.7500 0.5000 Zn
0.5000 0.5000 0.0000 Al
0.7500 0.2500 0.5000 Pt
```

# 5
VASP calculation (meta-GGA SCAN) on a crystal of AlZn2Pt relaxed with PBEsol.

Calculated values
Density of states at the Fermi level ... 1.71 states/eV/f.u.
Crystal system ... trigonal
Volume ... 14.8 Å³/atom
Calculated formation energy ... -212 meV/atom
SG ... R-3m (166)

Cell and atoms, written as POSCAR:
```
AlZn2Pt
1.0
-1.7294 0.3032 -2.2381
-2.8195 -0.1338 0.3528
-1.7480 8.3812 0.6783
Zn Al Pt
2 1 1
direct
0.2522 0.2522 0.2435 Zn
0.7478 0.7478 0.7565 Zn
0.5000 0.5000 0.5000 Al
0.0000 0.0000 0.0000 Pt
```

# 6
VASP calculation (meta-GGA SCAN) on a crystal of ZrAl2ZnPt relaxed with PBEsol.

Calculated values
Density of states at the Fermi level ... 4.22 states/eV/f.u.
Crystal system ... tetragonal
Volume ... 24.1 Å³/atom
Calculated formation energy ... 1491 meV/atom
SG ... P4/mmm (123)

Cell and atoms, written as POSCAR:
```
ZrAl2ZnPt
1.0
4.7844 0.0000 0.0000
0.0000 5.0231 0.0000
0.0000 0.0000 5.0231
Zn Zr Pt Al
1 1 1 2
direct
0.5000 0.0000 0.0000 Zn
0.0000 0.0000 0.0000 Zr
0.5000 0.5000 0.5000 Pt
0.0000 0.0000 0.5000 Al
0.0000 0.5000 0.0000 Al
```